Computed, not measured: crystalline SbIr2PdF at its relaxed geometry at the PBE level of DFT.

## Properties
E_tot: -25.50 eV for the cell shown
Size of the total moment: 1.12 μB per formula unit
Raw formation energy: 15.7 kcal/mol of atoms

a = 4.9237 Å, b = 4.9237 Å, c = 4.0759 Å
α = 90.00°, β = 90.00°, γ = 90.00°
Closest atoms and distances in Å follow each position.
Space group P4/mmm (No. 123)
Symmetry-distinct sites (fractional):
1 Sb 0.0000 0.0000 0.0000 (multiplicity 1)  2 F 2.04
2 Ir 0.0000 0.5000 0.0000 (multiplicity 2)  2 Sb 2.46
3 Pd 0.5000 0.5000 0.5000 (multiplicity 1)  8 Ir 3.20, 4 F 3.48
4 F 0.0000 0.0000 0.5000 (multiplicity 1)  2 Sb 2.04